BaCaAu2 PBE-GGA optimized geometry; ρ = 7220 kg/m³; space-group type = R3m; electronic total energy = -3.244 eV/atom; spin magnetization = 0.00 Bohr magnetons per cell
1.0
2.234 1.290 7.604
-2.234 1.290 7.604
0.000 -2.579 7.604
Ba Ca Au
1 1 2
Cartesian
0.000 0.000 0.000
0.000 0.000 18.844
0.000 0.000 5.362
0.000 0.000 9.655